Entry 1:
Computed, not measured: a relaxed structure of CdSn2TeO8 at the GGA-PBE level of DFT.

Lattice parameters (Å, degrees): 4.8432 4.8403 6.5989 90.00 90.00 89.36
Closest atoms and distances in Å follow each position.
Element x y z (fractional)
Cd: 0.0000 0.0000 0.5000  6 O 2.18-2.29
Sn: 0.5000 0.5000 0.7476  6 O 2.06-2.18
Sn: 0.5000 0.5000 0.2524  6 O 2.06-2.18
Te: 0.0000 0.0000 0.0000  6 O 1.94-2.04
O: 0.1926 0.8064 0.2152  1 Te 1.94, 1 Sn 2.10
O: 0.7032 0.7043 0.0000  1 Te 2.04, 2 Sn 2.18
O: 0.8074 0.1936 0.2152  1 Te 1.94, 1 Sn 2.10
O: 0.8074 0.1936 0.7848  1 Te 1.94, 1 Sn 2.10
O: 0.2968 0.2957 0.0000  1 Te 2.04, 2 Sn 2.18
O: 0.1926 0.8064 0.7848  1 Te 1.94, 1 Sn 2.10
O: 0.6830 0.6834 0.5000  2 Sn 2.06, 1 Cd 2.18
O: 0.3170 0.3166 0.5000  2 Sn 2.06, 1 Cd 2.18

Results
Formation energy (no corrections)   -15.29 eV per formula unit
Total DFT energy (no corrections)   -5.58 eV per atom
D(E_F)   1.511 states/eV per cell
Theoretical density   6.50 g/cm3
Total magnetic moment   0.000 μB/cell

---

Entry 2:
Computed, not measured: a relaxed structure of TiCd2SnO6 at the GGA-PBE level of DFT.

Lattice parameters (Å, degrees): 4.8242 5.3949 5.3949 90.00 90.00 90.00
Closest atoms and distances in Å follow each position.
Element x y z (fractional)
Ti: 0.5895 0.0000 0.0000  1 O 1.75
Cd: 0.0009 0.5000 0.0000  4 O 2.35
Cd: 0.0009 0.0000 0.5000  4 O 2.35
Sn: 0.5873 0.5000 0.5000  5 O 1.98-2.05
O: 0.7164 0.2445 0.2445  1 Ti 1.96, 1 Sn 2.05
O: 0.7164 0.2445 0.7555  1 Ti 1.96, 1 Sn 2.05
O: 0.1766 0.5000 0.5000  1 Sn 1.98
O: 0.2262 0.0000 0.0000  1 Ti 1.75
O: 0.7164 0.7555 0.7555  1 Ti 1.96, 1 Sn 2.05
O: 0.7164 0.7555 0.2445  1 Ti 1.96, 1 Sn 2.05

Results
Formation energy (no corrections)   -16.42 eV per formula unit
Total DFT energy (no corrections)   -5.99 eV per atom
D(E_F)   0.150 states/eV per cell
Theoretical density   5.76 g/cm3
Total magnetic moment   0.000 μB/cell

---

Entry 3:
Computed, not measured: a relaxed structure of TlCdSnO2 at the GGA-PBE level of DFT.

Lattice parameters (Å, degrees): 4.3299 5.7348 4.3299 90.00 90.00 90.00
Closest atoms and distances in Å follow each position.
Element x y z (fractional)
Tl: 0.0000 0.0000 0.0000  4 O 2.16
Sn: 0.5000 0.5000 0.5000  4 Cd 3.06
O: 0.0000 0.0000 0.5000  2 Tl 2.16
O: 0.5000 0.0000 0.0000  2 Tl 2.16
Cd: 0.0000 0.5000 0.0000  2 Tl 2.87, 4 Sn 3.06

Results
Formation energy (no corrections)   0.81 eV per formula unit
Total DFT energy (no corrections)   -3.28 eV per atom
D(E_F)   2.404 states/eV per cell
Theoretical density   7.22 g/cm3
Total magnetic moment   0.000 μB/cell

---

Entry 4:
Computed, not measured: a relaxed structure of Tl2CdSnO4 at the GGA-PBE level of DFT.

Lattice parameters (Å, degrees): 6.1545 6.0684 6.2540 121.03 120.58 91.45
Closest atoms and distances in Å follow each position.
Element x y z (fractional)
Tl: 0.5134 0.0213 0.0026  3 O 2.55-2.65
Tl: 0.2857 0.2687 0.5120  3 O 2.55-2.60
Cd: 0.9974 0.4874 0.9784  4 O 2.20-2.24
Sn: 0.7277 0.7364 0.4681  4 O 1.98-2.00
O: 0.7007 0.4754 0.5658  1 Sn 2.00, 1 Cd 2.24
O: 0.7011 0.4758 0.0825  1 Sn 2.00, 1 Cd 2.24
O: 0.4002 0.8356 0.3539  1 Sn 1.99, 1 Cd 2.20
O: 0.0609 0.0864 0.8107  1 Sn 1.98

Results
Formation energy (no corrections)   -8.41 eV per formula unit
Total DFT energy (no corrections)   -4.74 eV per atom
D(E_F)   0.000 states/eV per cell
Theoretical density   7.37 g/cm3
Total magnetic moment   0.000 μB/cell

---

Entry 5:
Computed, not measured: a relaxed structure of Tm2CdSnO6 at the GGA-PBE level of DFT.

Lattice parameters (Å, degrees): 5.6506 5.6506 5.9843 61.83 61.83 60.00
Closest atoms and distances in Å follow each position.
Element x y z (fractional)
Tm: 0.5249 0.5249 0.4252  6 O 2.22-2.31
Tm: 0.0185 0.0186 0.9444  6 O 2.19-2.31
Cd: 0.7984 0.7984 0.6048  3 O 2.24
Sn: 0.3162 0.3162 0.0513  6 O 2.08-2.16
O: 0.5957 0.2270 0.2375  1 Sn 2.08, 2 Tm 2.22-2.31
O: 0.2270 0.9398 0.2375  1 Sn 2.08, 2 Tm 2.22-2.31
O: 0.9398 0.5957 0.2375  1 Sn 2.08, 2 Tm 2.22-2.31
O: 0.3984 0.7024 0.7590  1 Sn 2.16, 2 Tm 2.19-2.31, 1 Cd 2.24
O: 0.7025 0.1401 0.7590  1 Sn 2.16, 2 Tm 2.19-2.31, 1 Cd 2.24
O: 0.1401 0.3984 0.7590  1 Sn 2.16, 2 Tm 2.19-2.31, 1 Cd 2.24

Results
Formation energy (no corrections)   -25.18 eV per formula unit
Total DFT energy (no corrections)   -6.88 eV per atom
D(E_F)   0.000 states/eV per cell
Theoretical density   7.96 g/cm3
Total magnetic moment   0.000 μB/cell

---

Entry 6:
Computed, not measured: a relaxed structure of UCdSnO6 at the GGA-PBE level of DFT.

Lattice parameters (Å, degrees): 5.5562 5.5562 9.7040 90.00 90.00 120.00
Closest atoms and distances in Å follow each position.
Element x y z (fractional)
U: 0.6667 0.3333 0.2500  6 O 2.11
U: 0.3333 0.6667 0.7500  6 O 2.11
Cd: 0.0000 0.0000 0.0000  6 O 2.38
Cd: 0.0000 0.0000 0.5000  6 O 2.38
Sn: 0.3333 0.6667 0.2500  6 O 2.10
Sn: 0.6667 0.3333 0.7500  6 O 2.10
O: 0.6447 0.6454 0.1366  1 Sn 2.10, 1 U 2.11
O: 0.0007 0.3553 0.1366  1 Sn 2.10, 1 U 2.11
O: 0.3553 0.0007 0.6366  1 Sn 2.10, 1 U 2.11
O: 0.9993 0.6447 0.8634  1 Sn 2.10, 1 U 2.11
O: 0.3546 0.3553 0.3634  1 Sn 2.10, 1 U 2.11
O: 0.0007 0.6454 0.3634  1 Sn 2.10, 1 U 2.11
O: 0.6454 0.0007 0.8634  1 Sn 2.10, 1 U 2.11
O: 0.6447 0.9993 0.3634  1 Sn 2.10, 1 U 2.11
O: 0.9993 0.3546 0.6366  1 Sn 2.10, 1 U 2.11
O: 0.3546 0.9993 0.1366  1 Sn 2.10, 1 U 2.11
O: 0.6454 0.6447 0.6366  1 Sn 2.10, 1 U 2.11
O: 0.3553 0.3546 0.8634  1 Sn 2.10, 1 U 2.11

Results
Formation energy (no corrections)   -18.54 eV per formula unit
Total DFT energy (no corrections)   -7.17 eV per atom
D(E_F)   0.000 states/eV per cell
Theoretical density   7.23 g/cm3
Total magnetic moment   0.000 μB/cell